# GGA-PBE BaTc2Os, relaxed
data_BaTc2Os
_cell_length_a 9.080
_cell_length_b 3.084
_cell_length_c 6.607
_cell_angle_alpha 90.00
_cell_angle_beta 103.26
_cell_angle_gamma 90.00
_space_group_name_H-M_alt 'C 1 m 1'
_space_group_IT_number 8
_space_group_name_Hall 'C -2y'
loop_
_atom_site_label
_atom_site_type_symbol
_atom_site_fract_x
_atom_site_fract_y
_atom_site_fract_z
Ba1 Ba 0.000 0.000 0.000
Tc1 Tc 0.003 0.500 0.507
Tc2 Tc 0.288 0.500 0.366
Os1 Os 0.224 0.000 0.642
# Final energy = -30.82 eV/f.u.
# Formation energy = 0.77 eV/atom
# Energy above the lowest structure with this stoichiometry = 0.0572 eV per atom